[1]
This record from Alexandria via LeMat-Bulk describes TmThNb4 after structural relaxation. The functional is PBE.

abc: 5.7300 5.7300 5.7300
angles: 60.00 60.00 60.00
Fractional coordinates of all 6 atoms:
Tm 0.0000 0.0000 0.0000
Nb 0.1239 0.6254 0.6254
Nb 0.6254 0.1239 0.6254
Th 0.2500 0.2500 0.2500
Nb 0.6254 0.6254 0.6254
Nb 0.6254 0.6254 0.1239

Output
As for the space group: F-43m (216). The formation energy is 76 meV/atom.


[2]
This record from Alexandria via LeMat-Bulk describes TmThNb after structural relaxation. The functional is PBE.

abc: 4.9955 5.3206 6.5238
angles: 88.47 112.51 90.00
Fractional coordinates of all 6 atoms:
Nb 0.2630 0.8131 0.5260
Th 0.1103 0.2801 0.2206
Nb 0.7370 0.1869 0.4740
Tm 0.5941 0.7315 0.1882
Tm 0.4059 0.2685 0.8118
Th 0.8897 0.7199 0.7794

Output
As for the space group: C2/m (12). The formation energy is 193 meV/atom.


[3]
This record from Alexandria via LeMat-Bulk describes TmTh2Nb after structural relaxation. The functional is PBE.

abc: 3.6697 3.6697 8.3253
angles: 90.00 90.00 90.00
Fractional coordinates of all 4 atoms:
Th 0.0000 0.0000 0.2188
Th 0.0000 0.0000 0.7812
Nb 0.5000 0.5000 0.0000
Tm 0.5000 0.5000 0.5000

Output
As for the space group: P4/mmm (123). The formation energy is 159 meV/atom.


[4]
This record from Alexandria via LeMat-Bulk describes TmTh2Nb after structural relaxation. The functional is PBE.

abc: 3.3488 3.3488 11.8998
angles: 81.91 81.91 60.00
Fractional coordinates of all 4 atoms:
Nb 0.0000 0.0000 0.0000
Tm 0.5000 0.5000 0.5000
Th 0.9186 0.9186 0.2442
Th 0.0814 0.0814 0.7558

Output
As for the space group: R-3m (166). The formation energy is 534 meV/atom.


[5]
This record from Alexandria via LeMat-Bulk describes ThUNb4 after structural relaxation. The functional is PBE.

abc: 5.6905 5.6905 5.6905
angles: 60.00 60.00 60.00
Last column: magnetic moment on the atom in μB.
Fractional coordinates of all 6 atoms:
Nb 0.1267 0.6244 0.6244  -0.02
Nb 0.6244 0.1267 0.6244  -0.02
U 0.2500 0.2500 0.2500  1.78
Th 0.0000 0.0000 0.0000  0.03
Nb 0.6244 0.6244 0.1267  -0.02
Nb 0.6244 0.6244 0.6244  -0.02

Output
As for the space group: F-43m (216). The formation energy is 230 meV/atom.


[6]
This record from Alexandria via LeMat-Bulk describes ThUNb after structural relaxation. The functional is PBE.

abc: 3.3763 3.3763 13.3711
angles: 97.25 97.25 90.00
Last column: magnetic moment on the atom in μB.
Fractional coordinates of all 6 atoms:
Th 0.5659 0.5659 0.1318  -0.01
U 0.8474 0.8474 0.6948  1.30
Th 0.4341 0.4341 0.8682  -0.01
Nb 0.7188 0.7188 0.4376  -0.06
U 0.1526 0.1526 0.3052  1.30
Nb 0.2812 0.2812 0.5624  -0.06

Output
As for the space group: I4/mmm (139). The formation energy is 413 meV/atom.


[7]
This record from Alexandria via LeMat-Bulk describes ThNb2V after structural relaxation. The functional is PBE.

abc: 3.1227 3.1227 10.0138
angles: 81.03 81.03 60.00
Fractional coordinates of all 4 atoms:
Th 0.0000 0.0000 0.0000
Nb 0.8994 0.8994 0.3018
Nb 0.1006 0.1006 0.6982
V 0.5000 0.5000 0.5000

Output
As for the space group: R-3m (166). The formation energy is 544 meV/atom.


[8]
This record from Alexandria via LeMat-Bulk describes ThNbV2 after structural relaxation. The functional is PBE.

abc: 3.2751 3.2751 7.2841
angles: 90.00 90.00 90.00
Fractional coordinates of all 4 atoms:
V 0.0000 0.0000 0.1907
Nb 0.5000 0.5000 0.0000
Th 0.5000 0.5000 0.5000
V 0.0000 0.0000 0.8093

Output
As for the space group: P4/mmm (123). The formation energy is 274 meV/atom.


[9]
This record from Alexandria via LeMat-Bulk describes ThNb2V after structural relaxation. The functional is PBE.

abc: 3.2554 3.2554 7.7018
angles: 90.00 90.00 90.00
Fractional coordinates of all 4 atoms:
V 0.5000 0.5000 0.0000
Th 0.5000 0.5000 0.5000
Nb 0.0000 0.0000 0.8080
Nb 0.0000 0.0000 0.1920

Output
As for the space group: P4/mmm (123). The formation energy is 220 meV/atom.


[10]
This record from Alexandria via LeMat-Bulk describes ThNbV4 after structural relaxation. The functional is PBE.

abc: 5.2358 5.2358 5.2358
angles: 60.00 60.00 60.00
Fractional coordinates of all 6 atoms:
Th 0.0000 0.0000 0.0000
V 0.6247 0.6247 0.1259
V 0.1259 0.6247 0.6247
Nb 0.2500 0.2500 0.2500
V 0.6247 0.6247 0.6247
V 0.6247 0.1259 0.6247

Output
As for the space group: F-43m (216). The formation energy is 131 meV/atom.


[11]
This record from Alexandria via LeMat-Bulk describes YTh2Nb after structural relaxation. The functional is PBE.

abc: 3.3562 3.3562 12.0482
angles: 81.99 81.99 60.00
Fractional coordinates of all 4 atoms:
Nb 0.0000 0.0000 0.0000
Y 0.5000 0.5000 0.5000
Th 0.0806 0.0806 0.7582
Th 0.9194 0.9194 0.2418

Output
As for the space group: R-3m (166). The formation energy is 552 meV/atom.


[12]
This record from Alexandria via LeMat-Bulk describes YTh2Nb after structural relaxation. The functional is PBE.

abc: 3.6715 3.6715 8.4632
angles: 90.00 90.00 90.00
Fractional coordinates of all 4 atoms:
Th 0.0000 0.0000 0.2154
Y 0.5000 0.5000 0.5000
Th 0.0000 0.0000 0.7846
Nb 0.5000 0.5000 0.0000

Output
As for the space group: P4/mmm (123). The formation energy is 169 meV/atom.